[1]
# Ca2Cu2As

A crystal of Ca2Cu2As relaxed with PBEsol (SCAN, Alexandria via LeMat-Bulk).

Lattice parameters (Å, degrees): 5.2440 5.2440 5.2440 115.48 115.48 98.03
With the nearest neighbours (Å) after each atom.
Atoms (fractional coordinates):
Ca 0.2500 0.7500 0.5000  4 Cu 2.86
Ca 0.7500 0.2500 0.5000  4 Cu 2.86
Cu 0.1615 0.1615 0.0000  1 Cu 2.22, 1 As 2.33
Cu 0.8385 0.8385 0.0000  1 Cu 2.22, 1 As 2.33
As 0.5000 0.5000 0.0000  2 Cu 2.33

Output
energy relative to the elements: -1.298 eV/f.u.

=====

[2]
# Bi2MoPdN

A crystal of Bi2MoPdN relaxed with PBEsol (SCAN, Alexandria via LeMat-Bulk).

Lattice parameters (Å, degrees): 4.9167 4.9167 3.9091 90.00 90.00 90.00
With the nearest neighbours (Å) after each atom.
Atoms (fractional coordinates):
Bi 0.0000 0.5000 0.0000  2 N 2.46
Bi 0.5000 0.0000 0.0000  2 N 2.46
Mo 0.0000 0.0000 0.5000  8 Bi 3.14, 4 Pd 3.48
Pd 0.5000 0.5000 0.5000  2 N 1.95
N 0.5000 0.5000 0.0000  2 Pd 1.95

Output
E_form (uncorrected): 899 meV/atom

=====

Record order is preserved below.
E_tot: -71.214; -229.617 eV per formula unit